DFT (PBE) results for PrTl3Hg3 after structural relaxation.

space group: Pm-3n
formation energy from the elements: 0.382 eV per atom
total moment: 0.000 μB per cell
calculated total energy: -1.44 eV/atom

abc: 8.0684 8.0684 8.0684
angles: 90.00 90.00 90.00
Fractional positions:
Pr1 0.5000 0.5000 0.5000
Pr2 0.0000 0.0000 0.0000
Tl1 0.2500 0.0000 0.5000
Tl2 0.0000 0.5000 0.2500
Tl3 0.5000 0.7500 0.0000
Tl4 0.7500 0.0000 0.5000
Tl5 0.0000 0.5000 0.7500
Tl6 0.5000 0.2500 0.0000
Hg1 0.0000 0.2500 0.5000
Hg2 0.0000 0.7500 0.5000
Hg3 0.5000 0.0000 0.7500
Hg4 0.7500 0.5000 0.0000
Hg5 0.5000 0.0000 0.2500
Hg6 0.2500 0.5000 0.0000

---

DFT (PBE) results for PrTlHg2 after structural relaxation.

space group: R3m
formation energy from the elements: -0.170 eV per atom
total moment: 0.000 μB per cell
calculated total energy: -2.11 eV/atom

abc: 4.0286 4.0286 9.0470
angles: 77.14 77.14 60.00
Fractional positions:
Pr1 0.6667 0.6667 0.0000
Tl1 0.4998 0.4998 0.5007
Hg1 0.0851 0.0851 0.7446
Hg2 0.2484 0.2484 0.2547

---

N(E_F), record by record: 8.535 2.570 states/eV/cell